First-principles (PBE-GGA) data for TbPmEr4 after structural relaxation, as listed in the Alexandria database.

abc: 6.6882 6.6882 10.1199
angles: 90.00 90.00 121.04
Element x y z (fractional)
Tb: 0.0000 0.0000 0.0000
Tb: 0.0000 0.0000 0.5000
Pm: 0.1711 0.8289 0.7500
Pm: 0.8289 0.1711 0.2500
Er: 0.1565 0.3564 0.7500
Er: 0.3441 0.6559 0.0677
Er: 0.3441 0.6559 0.4323
Er: 0.3564 0.1565 0.2500
Er: 0.6436 0.8435 0.7500
Er: 0.6559 0.3441 0.5677
Er: 0.6559 0.3441 0.9323
Er: 0.8435 0.6436 0.2500

Calculated values
* ΔH_f (0 K): 254 meV/atom
* crystal system: orthorhombic
* calculated density: 8.3 g/cm³
* energy above the lowest structure with this stoichiometry: 0.000 eV per atom
* DOS(E_F): 1.436 states/eV/atom


First-principles (PBE-GGA) data for CsSrFe2I8 after structural relaxation, as listed in the Alexandria database.

abc: 7.5814 7.5814 11.2480
angles: 90.00 90.00 120.00
Element x y z (fractional)
Cs: 0.0000 0.0000 0.0000
Sr: 0.0000 0.0000 0.5000
Fe: 0.3333 0.6667 0.7539
Fe: 0.6667 0.3333 0.2461
I: 0.0019 0.3438 0.6826
I: 0.3333 0.6667 0.9809
I: 0.3419 0.9981 0.6826
I: 0.3438 0.3419 0.3174
I: 0.6562 0.6581 0.6826
I: 0.6581 0.0019 0.3174
I: 0.6667 0.3333 0.0191
I: 0.9981 0.6562 0.3174

Calculated values
* formation energy without anion corrections: -0.771 eV/atom
* crystal system: trigonal
* calculated density: 4.0 g/cm³
* DOS(E_F): 0.770 states/eV/atom


First-principles (PBE-GGA) data for Dy4PbSeS2 after structural relaxation, as listed in the Alexandria database.

abc: 7.1323 3.9823 7.1886
angles: 90.00 108.61 90.00
Element x y z (fractional)
Dy: 0.2285 0.0000 0.2195
Dy: 0.2510 0.5000 0.7718
Dy: 0.7490 0.5000 0.2282
Dy: 0.7715 0.0000 0.7805
Pb: 0.5000 0.5000 0.5000
Se: 0.0000 0.0000 0.5000
S: 0.0000 0.5000 0.0000
S: 0.5000 0.0000 0.0000

Calculated values
* formation energy without anion corrections: -1.523 eV/atom
* crystal system: monoclinic
* calculated density: 8.6 g/cm³
* DOS(E_F): 0.441 states/eV/atom


First-principles (PBE-GGA) data for Li3Pa3PdS8 after structural relaxation, as listed in the Alexandria database.

abc: 7.6335 7.6335 7.6150
angles: 119.75 119.75 61.70
Element x y z (fractional)
Li: 0.0000 0.0000 0.0000
Li: 0.0000 0.5000 0.5000
Li: 0.5000 0.0000 0.5000
Pa: 0.0000 0.5000 0.0000
Pa: 0.5000 0.0000 0.0000
Pa: 0.5000 0.5000 0.5000
Pd: 0.0000 0.0000 0.5000
S: 0.2395 0.2395 0.7444
S: 0.2425 0.2425 0.2473
S: 0.2580 0.7419 0.2484
S: 0.2581 0.7420 0.7516
S: 0.7419 0.2580 0.2484
S: 0.7420 0.2581 0.7516
S: 0.7575 0.7575 0.7527
S: 0.7605 0.7605 0.2556

Calculated values
* formation energy without anion corrections: -1.296 eV/atom
* crystal system: monoclinic
* calculated density: 5.6 g/cm³
* DOS(E_F): 1.259 states/eV/atom


Sequential total magnetization output: 0.00 9.00 0.00 2.75 Bohr magnetons per cell